Below is an optimized crystal structure of CeV2PbO8, with properties calculated at the PBE with a Hubbard U level.

Unit cell a=5.8301 b=5.8301 c=7.1733 alpha=90.00 beta=90.00 gamma=120.00
Closest atoms and distances in Å follow each position.
Positions (direct):
1 Ce 0.0000 0.0000 0.5000  6 O 2.25
2 V 0.6667 0.3333 0.2143  4 O 1.66-1.78
3 V 0.3333 0.6667 0.7857  4 O 1.66-1.78
4 Pb 0.0000 0.0000 0.0000  6 O 2.69
5 O 0.3333 0.6667 0.0169  1 V 1.66
6 O 0.3327 0.1661 0.2921  1 V 1.78
7 O 0.8339 0.1666 0.2921  1 V 1.78
8 O 0.6667 0.3333 0.9831  1 V 1.66
9 O 0.1661 0.8334 0.7079  1 V 1.78
10 O 0.6673 0.8339 0.7079  1 V 1.78
11 O 0.1666 0.3327 0.7079  1 V 1.78
12 O 0.8334 0.6673 0.2921  1 V 1.78

- Density of states at the Fermi level: 0.00 states/eV per cell
- Theoretical density: 4.54 g/cm3
- Electronic total energy: -89.9 eV/f.u.